# 1
VASP calculation (PBE-GGA) on an optimized crystal structure of Pm5Y3Er3.

```
11
Lattice="-4.0173 -2.1842 -3.2520 6.2290 -6.7708 -3.1472 -5.4519 -1.6923 7.8716" Properties=species:S:1:pos:R:3 pbc="T T T"
Pm 0.3267 -6.1701 -1.1002
Pm 2.5249 -6.0201 -3.9166
Pm -1.7971 -3.3956 -0.3401
Pm -5.9766 -2.3238 4.1032
Pm -3.5669 -4.4773 2.5727
Er 0.2692 -3.5682 -2.7769
Er -4.0023 -1.7110 1.2526
Er -1.5157 -6.4604 1.3708
Y -2.9313 -0.9099 4.2323
Y 0.3593 -3.9128 2.1843
Y 3.3491 -3.6404 -1.6921
```

Calculated values
Energy of formation in meV/atom: 791
DOS at the Fermi energy in states/eV per cell: 19.53
Magnetic moment in μB/cell: 0.0
Theoretical density in Mg/m³: 5.40
Offset from the most stable computed form in meV per atom: 664



# 2
VASP calculation (PBE-GGA) on an optimized crystal structure of Pm6YEr.

```
8
Lattice="5.1232 0.0000 0.0000 0.0000 5.1232 0.0000 0.0000 0.0000 10.2465" Properties=species:S:1:pos:R:3 pbc="T T T"
Y 0.0000 0.0000 0.0000
Er 0.0000 0.0000 5.1233
Pm 2.5616 0.0000 2.5761
Pm 2.5616 0.0000 7.6704
Pm 2.5616 2.5616 5.1233
Pm 0.0000 2.5616 2.5761
Pm 0.0000 2.5616 7.6704
Pm 2.5616 2.5616 0.0000
```

Calculated values
Energy of formation in meV/atom: 16
DOS at the Fermi energy in states/eV per cell: 12.77
Magnetic moment in μB/cell: 0.0
Theoretical density in Mg/m³: 6.95
Offset from the most stable computed form in meV per atom: 0



# 3
VASP calculation (PBE-GGA) on an optimized crystal structure of PmY3Er4.

```
16
Lattice="6.2733 0.0000 0.0000 0.0000 7.2705 0.0000 0.0000 0.0000 11.2454" Properties=species:S:1:pos:R:3 pbc="T T T"
Er 3.0156 6.3798 8.4443
Er 4.0766 0.8907 0.0000
Er 6.1522 0.8907 8.4238
Er 0.9400 6.3798 5.6227
Er 4.0722 0.8864 5.6227
Er 0.9355 6.3841 0.0000
Er 3.0156 6.3798 2.8011
Er 6.1522 0.8907 2.8216
Y 6.1605 4.5624 8.4382
Y 6.1605 4.5624 2.8072
Y 4.0463 4.5600 0.0000
Y 0.9097 2.7105 5.6227
Y 3.0239 2.7081 2.8155
Y 3.0239 2.7081 8.4299
Pm 0.9147 2.7053 0.0000
Pm 4.0513 4.5652 5.6227
```

Calculated values
Energy of formation in meV/atom: 5
DOS at the Fermi energy in states/eV per cell: 27.41
Magnetic moment in μB/cell: 0.0
Theoretical density in Mg/m³: 7.00
Offset from the most stable computed form in meV per atom: 0



# 4
VASP calculation (PBE-GGA) on an optimized crystal structure of Pm2Y2Er3.

```
14
Lattice="-0.2986 -3.2159 -7.7877 -5.3582 -4.1925 4.9791 -2.1702 8.1432 -0.2371" Properties=species:S:1:pos:R:3 pbc="T T T"
Y -0.8406 -1.5430 -4.1628
Y -3.4403 0.7377 -1.9626
Y -2.9513 -5.0281 -4.6103
Y -0.8934 3.3524 -0.0976
Pm -5.5886 -0.9432 0.0337
Pm -2.7724 -3.1016 0.0550
Pm -1.7635 6.6173 -0.1927
Pm -5.2309 2.1131 1.8003
Er -2.7941 0.9020 -5.1874
Er -2.2154 0.5511 1.0200
Er -6.2673 2.2966 -1.8707
Er -2.7832 3.8879 -2.6614
Er -5.5318 -3.1935 2.6935
Er -3.8892 -2.2395 -3.1310
```

Calculated values
Energy of formation in meV/atom: 229
DOS at the Fermi energy in states/eV per cell: 19.30
Magnetic moment in μB/cell: 0.0
Theoretical density in Mg/m³: 6.98
Offset from the most stable computed form in meV per atom: 110



# 5
VASP calculation (PBE-GGA) on an optimized crystal structure of Pm5Y3Er2.

```
20
Lattice="8.8217 2.1165 -4.3198 0.6283 9.0127 -4.3551 -2.3020 -2.6531 10.7122" Properties=species:S:1:pos:R:3 pbc="T T T"
Y 6.9500 2.0953 2.8510
Y 6.0635 5.1591 -2.4852
Y 1.0845 3.3171 4.5225
Y 0.4318 6.7687 5.0142
Y 6.7162 1.7075 -2.9770
Y 0.1981 6.3808 -0.8137
Er 4.2306 2.9965 -0.8345
Er 2.9174 5.4796 2.8718
Er 2.0120 8.5206 -2.5142
Er 5.1360 -0.0445 4.5515
Pm 0.6702 2.8799 0.5365
Pm 4.5189 3.3090 5.0067
Pm -0.5656 5.5702 2.3903
Pm 3.6512 6.3953 -0.2802
Pm 6.4778 5.5962 1.5008
Pm 3.4968 2.0808 2.3174
Pm 7.7136 2.9059 -0.3530
Pm 2.6291 5.1671 -2.9694
Pm 1.5956 -0.1371 5.9751
Pm 5.5525 8.6132 -3.9378
```

Calculated values
Energy of formation in meV/atom: 185
DOS at the Fermi energy in states/eV per cell: 35.83
Magnetic moment in μB/cell: 0.0
Theoretical density in Mg/m³: 6.53



# 6
VASP calculation (PBE-GGA) on an optimized crystal structure of Pm2YEr7.

```
10
Lattice="3.5087 0.0000 0.0000 0.0000 13.8901 -4.7586 0.0000 -10.5134 10.2493" Properties=species:S:1:pos:R:3 pbc="T T T"
Er 1.7544 4.9389 2.6658
Er 1.7544 1.6883 2.7453
Er 1.7544 -1.5623 2.8249
Er 0.0000 -6.0143 7.4824
Er 0.0000 9.3909 -1.9917
Er 1.7544 0.1508 5.6104
Er 1.7544 3.2258 -0.1198
Pm 1.7544 -3.4031 5.8765
Pm 1.7544 6.7797 -0.3858
Y 0.0000 0.0000 0.0000
```

Calculated values
Energy of formation in meV/atom: 156
DOS at the Fermi energy in states/eV per cell: 14.64
Magnetic moment in μB/cell: 0.0
Theoretical density in Mg/m³: 7.94
Offset from the most stable computed form in meV per atom: 134



# 7
VASP calculation (PBE-GGA) on an optimized crystal structure of PmY2Er5.

```
8
Lattice="-4.3349 0.8773 5.5293 -5.1364 -3.4019 -3.4902 6.3029 -3.0775 0.9001" Properties=species:S:1:pos:R:3 pbc="T T T"
Er 1.2791 -5.1682 -0.4433
Er 1.6806 -3.0273 4.0685
Er -4.0405 -3.1883 1.8715
Er -0.8893 -4.7289 2.3224
Er 3.8490 -3.4666 1.3029
Pm 0.6977 -1.9304 0.8539
Y -1.8721 -3.6284 -0.8925
Y -1.4712 -1.4897 3.6176
```

Calculated values
Energy of formation in meV/atom: 24
DOS at the Fermi energy in states/eV per cell: 11.18
Magnetic moment in μB/cell: 0.0
Theoretical density in Mg/m³: 7.68



# 8
VASP calculation (PBE-GGA) on an optimized crystal structure of Pm4YEr6.

```
11
Lattice="3.4857 -4.3247 -7.9549 -7.5307 -0.5689 6.0909 -5.1899 7.7821 2.5766" Properties=species:S:1:pos:R:3 pbc="T T T"
Pm -4.8529 -0.2573 3.9034
Pm -3.3223 0.9959 0.1536
Pm -3.3973 4.9356 1.7181
Pm -10.3830 4.4275 3.6050
Er -2.0225 -2.4468 -0.9320
Er -5.7853 2.4431 1.9520
Er -0.8521 1.7287 -2.6892
Er -8.3778 3.0248 6.0507
Er -0.2493 -1.3694 -3.4200
Er -7.5430 6.0031 4.7974
Y 0.0000 0.0000 0.0000
```

Calculated values
Energy of formation in meV/atom: 303
DOS at the Fermi energy in states/eV per cell: 13.74
Magnetic moment in μB/cell: 0.0
Theoretical density in Mg/m³: 7.46
Offset from the most stable computed form in meV per atom: 137